# 1
Zn2P2O7, relaxed, DFT GGA-PBE; DOS at the Fermi energy = 0.00 states/eV/f.u.; E = -417.99 eV for the cell shown; formation energy from raw total energies = -1.963 eV/atom; symmetry = C2/c (15)
1.0
9.9721 -4.1944 0.0000
9.9721 4.1944 0.0000
-1.4995 0.0000 9.1247
Zn P O
12 12 42
Direct
0.1257 0.5043 0.2863
0.1579 0.5166 0.8385
0.1723 0.7978 0.9569
0.2022 0.8277 0.5431
0.4834 0.8421 0.6615
0.4957 0.8743 0.2137
0.5043 0.1257 0.7863
0.5166 0.1579 0.3385
0.7978 0.1723 0.4569
0.8277 0.2022 0.0431
0.8421 0.4834 0.1615
0.8743 0.4957 0.7137
0.0945 0.1134 0.3220
0.1134 0.0945 0.8220
0.2184 0.2582 0.5373
0.2582 0.2184 0.0373
0.4138 0.4564 0.1397
0.4564 0.4138 0.6397
0.5436 0.5862 0.3603
0.5862 0.5436 0.8603
0.7418 0.7816 0.9627
0.7816 0.7418 0.4627
0.8866 0.9055 0.1780
0.9055 0.8866 0.6780
0.0224 0.7358 0.2489
0.0379 0.0453 0.9017
0.0453 0.0379 0.4017
0.0560 0.7529 0.7857
0.0925 0.3755 0.1154
0.0953 0.4134 0.6453
0.1013 0.2283 0.4500
0.2283 0.1013 0.9500
0.2471 0.9440 0.7143
0.2633 0.5733 0.0246
0.2642 0.9776 0.2511
0.2775 0.2995 0.4272
0.2995 0.2775 0.9272
0.3136 0.5890 0.5772
0.3677 0.3865 0.2323
0.3755 0.0925 0.6154
0.3865 0.3677 0.7323
0.4085 0.5915 0.2500
0.4110 0.6864 0.9228
0.4134 0.0953 0.1453
0.4267 0.7367 0.4754
0.5733 0.2633 0.5246
0.5866 0.9047 0.8547
0.5890 0.3136 0.0772
0.5915 0.4085 0.7500
0.6135 0.6323 0.2677
0.6245 0.9075 0.3846
0.6323 0.6135 0.7677
0.6864 0.4110 0.4228
0.7005 0.7225 0.0728
0.7225 0.7005 0.5728
0.7358 0.0224 0.7489
0.7367 0.4267 0.9754
0.7529 0.0560 0.2857
0.7717 0.8987 0.0500
0.8987 0.7717 0.5500
0.9047 0.5866 0.3547
0.9075 0.6245 0.8846
0.9440 0.2471 0.2143
0.9547 0.9621 0.5983
0.9621 0.9547 0.0983
0.9776 0.2642 0.7511

---

# 2
Zn3P2O12, relaxed, DFT GGA-PBE; E = -97.69 eV for the cell shown; formation energy from raw total energies = -1.385 eV/atom; symmetry = P-1 (2)
1.0
5.6696 0.0000 0.0000
-0.0349 5.9973 0.0000
-2.1190 -2.9185 6.8687
Zn P O
3 2 12
Direct
0.0000 0.0000 0.0000
0.1453 0.6852 0.3694
0.8547 0.3148 0.6306
0.2562 0.1930 0.3825
0.7438 0.8070 0.6175
0.1389 0.3227 0.2376
0.1450 0.9194 0.2376
0.1612 0.2763 0.5596
0.3937 0.1897 0.9316
0.4123 0.6962 0.9450
0.4643 0.7799 0.5681
0.5357 0.2201 0.4319
0.5877 0.3038 0.0550
0.6063 0.8103 0.0684
0.8388 0.7237 0.4404
0.8550 0.0806 0.7624
0.8611 0.6773 0.7624

---

# 3
ZnP2O6, relaxed, DFT GGA-PBE; DOS at the Fermi energy = 0.00 states/eV/f.u.; E = -119.96 eV for the cell shown; formation energy from raw total energies = -2.015 eV/atom; symmetry = C2/c (15)
1.0
5.3635 -5.4109 0.0000
5.3635 5.4109 0.0000
-2.0525 0.0000 4.3222
Zn P O
2 4 12
Direct
0.2038 0.7962 0.7500
0.7962 0.2038 0.2500
0.1991 0.3660 0.7106
0.3660 0.1991 0.2106
0.6340 0.8009 0.7894
0.8009 0.6340 0.2894
0.0288 0.2295 0.5855
0.1834 0.5670 0.8548
0.2295 0.0288 0.0855
0.2976 0.3571 0.4530
0.3571 0.2976 0.9530
0.4330 0.8166 0.6452
0.5670 0.1834 0.3548
0.6429 0.7024 0.0470
0.7024 0.6429 0.5470
0.7705 0.9712 0.9145
0.8166 0.4330 0.1452
0.9712 0.7705 0.4145

---

# 4
ZnP3O, relaxed, DFT GGA-PBE; DOS at the Fermi energy = 3.07 states/eV/f.u.; E = -15.20 eV for the cell shown; formation energy from raw total energies = 1.453 eV/atom; symmetry = Pm-3m (221)
1.0
4.5973 0.0000 0.0000
0.0000 4.5973 0.0000
0.0000 0.0000 4.5973
Zn P O
1 3 1
Direct
0.0000 0.0000 0.0000
0.0000 0.0000 0.5000
0.0000 0.5000 0.0000
0.5000 0.0000 0.0000
0.5000 0.5000 0.5000